1.
A geometry-optimized TcAg2Rh structure, computed with PBE-GGA.

Structure (POSCAR):
```
TcAg2Rh
1.0
5.197 -0.015 0.000
-2.513 4.549 0.000
0.000 0.000 2.705
Ag Rh Tc
2 1 1
Direct
0.000 0.000 0.000
0.500 0.500 0.000
0.500 0.000 0.500
0.000 0.500 0.500
```

Calculated values
V ... 15.96 Å³ per atom

***

2.
A geometry-optimized TcAg2Rh structure, computed with PBE-GGA.

Structure (POSCAR):
```
TcAg2Rh
1.0
-6.052 5.603 4.786
-7.821 4.671 2.819
-7.383 3.160 5.141
Ag Rh Tc
2 1 1
Direct
0.002 0.002 0.002
0.248 0.248 0.248
0.494 0.494 0.494
0.756 0.756 0.756
```

Calculated values
V ... 16.01 Å³ per atom

***

3.
A geometry-optimized TcAgRh2 structure, computed with PBE-GGA.

Structure (POSCAR):
```
TcAgRh2
1.0
-0.240 -3.280 1.849
2.730 1.288 2.639
-2.925 1.506 2.292
Ag Rh Tc
1 2 1
Direct
0.500 0.000 0.500
0.000 0.000 0.000
0.000 0.500 0.500
0.500 0.500 0.000
```

Calculated values
V ... 15.16 Å³ per atom

***

4.
A geometry-optimized TcAg2Rh structure, computed with PBE-GGA.

Structure (POSCAR):
```
TcAg2Rh
1.0
-1.088 -2.113 3.811
2.857 -2.943 1.831
2.132 1.018 3.820
Ag Rh Tc
2 1 1
Direct
0.000 0.000 0.000
0.250 0.250 0.250
0.500 0.500 0.500
0.750 0.750 0.750
```

Calculated values
V ... 16.01 Å³ per atom

***

5.
A geometry-optimized Tc2Ag2Rh structure, computed with PBE-GGA.

Structure (POSCAR):
```
Tc2Ag2Rh
1.0
-1.864 5.541 5.352
3.918 -4.058 5.567
2.305 1.375 -0.620
Rh Tc Ag
2 4 4
Direct
0.000 0.000 0.000
0.500 0.500 0.000
0.100 0.600 0.500
0.600 0.900 0.500
0.900 0.400 0.500
0.400 0.100 0.500
0.308 0.808 0.000
0.808 0.692 0.000
0.692 0.192 0.000
0.192 0.308 0.000
```

Calculated values
V ... 17.30 Å³ per atom

***

6.
A geometry-optimized TcAgRh2 structure, computed with PBE-GGA.

Structure (POSCAR):
```
TcAgRh2
1.0
-2.228 1.289 -0.887
-0.950 0.110 2.548
3.710 7.154 1.074
Ag Rh Tc
1 2 1
Direct
0.500 0.500 0.751
0.000 0.000 0.013
0.500 0.500 0.253
0.000 0.000 0.482
```

Calculated values
V ... 15.06 Å³ per atom

***

7.
A geometry-optimized TcAg4Rh structure, computed with PBE-GGA.

Structure (POSCAR):
```
TcAg4Rh
1.0
0.000 3.757 3.757
3.757 0.000 3.757
3.757 3.757 0.000
Tc Ag Rh
1 4 1
Direct
0.000 0.000 0.000
0.875 0.375 0.375
0.375 0.375 0.875
0.375 0.875 0.375
0.375 0.375 0.375
0.750 0.750 0.750
```

Calculated values
V ... 17.67 Å³ per atom

***

8.
A geometry-optimized TcAgRh2 structure, computed with PBE-GGA.

Structure (POSCAR):
```
TcAgRh2
1.0
-4.369 -0.453 1.820
-1.080 -4.628 0.168
3.807 2.381 1.565
Ag Rh Tc
1 2 1
Direct
0.750 0.250 0.500
0.000 0.000 0.000
0.500 0.500 0.000
0.250 0.750 0.500
```

Calculated values
V ... 14.93 Å³ per atom

***

9.
A geometry-optimized Tc4AgRh structure, computed with PBE-GGA.

Structure (POSCAR):
```
Tc4AgRh
1.0
3.346 1.830 3.405
-0.417 -1.275 4.934
3.442 -3.121 2.134
Tc Ag Rh
4 1 1
Direct
0.875 0.375 0.375
0.375 0.375 0.875
0.375 0.875 0.375
0.375 0.375 0.375
0.750 0.750 0.750
0.000 0.000 0.000
```

Calculated values
V ... 15.75 Å³ per atom

***

10.
A geometry-optimized Tc2AgRh structure, computed with PBE-GGA.

Structure (POSCAR):
```
Tc2AgRh
1.0
-3.292 -0.329 3.705
-4.667 -0.899 -1.445
4.435 -2.022 -0.960
Ag Rh Tc
1 1 2
Direct
0.250 0.750 0.500
0.750 0.250 0.500
0.000 0.000 0.000
0.500 0.500 0.000
```

Calculated values
V ... 15.02 Å³ per atom

***

11.
A geometry-optimized TcAgRh2 structure, computed with PBE-GGA.

Structure (POSCAR):
```
TcAgRh2
1.0
0.000 3.131 3.131
3.131 0.000 3.131
3.131 3.131 0.000
Rh Tc Ag
2 1 1
Direct
0.250 0.250 0.250
0.750 0.750 0.750
0.000 0.000 0.000
0.500 0.500 0.500
```

Calculated values
V ... 15.35 Å³ per atom

***

12.
A geometry-optimized TcAgRh2 structure, computed with PBE-GGA.

Structure (POSCAR):
```
TcAgRh2
1.0
9.337 -0.007 -0.004
8.932 2.720 -0.004
8.932 1.326 2.375
Ag Rh Tc
1 2 1
Direct
0.750 0.750 0.750
0.996 0.996 0.996
0.248 0.248 0.248
0.506 0.506 0.506
```

Calculated values
V ... 15.15 Å³ per atom

***

M_tot
In order: 0.00, 0.00, 1.94, 0.00, 0.73, 0.00, 3.46, 0.58, 0.00, 0.00, 2.06, 0.48
Unit: μB/f.u.
Final energy
In order: -5.358, -5.683, -6.627, -5.320, -5.902, -6.772, -4.162, -6.724, -8.147, -7.356, -6.592, -6.814
Unit: eV per atom
D(E_F)
In order: 1.116, 1.015, 1.187, 0.297, 1.108, 1.252, 0.720, 1.063, 1.035, 1.244, 1.061, 0.900
Unit: states/eV/atom